# Cu2SeBr PBE optimized geometry
# - Formation energy (no corrections): -0.07 eV per atom
data_Cu2SeBr
_chemical_formula_sum 'Cu2 Se1 Br1'
_symmetry_space_group_name_H-M 'P 4 m m'
_symmetry_Int_Tables_number 99
_cell_length_a 3.456
_cell_length_b 3.456
_cell_length_c 7.015
_cell_angle_alpha 90.00
_cell_angle_beta 90.00
_cell_angle_gamma 90.00
loop_
_symmetry_equiv_pos_as_xyz
'x,y,z'
'-y,x,z'
'-x,-y,z'
'y,-x,z'
'-x,y,z'
'y,x,z'
'x,-y,z'
'-y,-x,z'
loop_
_atom_site_label
_atom_site_type_symbol
_atom_site_fract_x
_atom_site_fract_y
_atom_site_fract_z
Cu1 Cu 0.000 0.000 0.000
Cu2 Cu 0.500 0.500 0.238
Se1 Se 0.000 0.000 0.335
Br1 Br 0.500 0.500 0.838



# Pm5Y6Er2 PBE optimized geometry
# - Formation energy from the elements: 9.15 kJ per mole of atoms
data_Pm5Y6Er2
_chemical_formula_sum 'Pm10 Y12 Er4'
_symmetry_space_group_name_H-M 'P b a m'
_symmetry_Int_Tables_number 55
_cell_length_a 11.702
_cell_length_b 20.586
_cell_length_c 3.598
_cell_angle_alpha 90.00
_cell_angle_beta 90.00
_cell_angle_gamma 90.00
loop_
_symmetry_equiv_pos_as_xyz
'x,y,z'
'-x,-y,-z'
'-x,-y,z'
'x,y,-z'
'x+1/2,-y+1/2,-z'
'-x+1/2,y+1/2,z'
'-x+1/2,y+1/2,-z'
'x+1/2,-y+1/2,z'
loop_
_atom_site_label
_atom_site_type_symbol
_atom_site_fract_x
_atom_site_fract_y
_atom_site_fract_z
Pm1 Pm 0.000 0.000 0.000
Pm2 Pm 0.084 0.272 0.000
Pm3 Pm 0.200 0.550 0.000
Y1 Y 0.059 0.418 0.500
Y2 Y 0.082 0.131 0.500
Y3 Y 0.175 0.861 0.000
Er1 Er 0.170 0.709 0.500



# TaCuBi2Cl PBE optimized geometry
# - Formation energy (no corrections): 1.18 eV per atom
data_TaCuBi2Cl
_chemical_formula_sum 'Ta1 Cu1 Bi2 Cl1'
_symmetry_space_group_name_H-M 'P 4/m m m'
_symmetry_Int_Tables_number 123
_symmetry_space_group_name_Hall '-P 4 2'
_cell_length_a 5.566
_cell_length_b 5.566
_cell_length_c 4.430
_cell_angle_alpha 90.00
_cell_angle_beta 90.00
_cell_angle_gamma 90.00
loop_
_atom_site_label
_atom_site_type_symbol
_atom_site_fract_x
_atom_site_fract_y
_atom_site_fract_z
Ta1 Ta 0.000 0.000 0.000
Cu1 Cu 0.500 0.500 0.000
Bi1 Bi 0.000 0.500 0.500
Cl1 Cl 0.000 0.000 0.500



# CdFe2Se PBE optimized geometry
# - Formation energy (no corrections): 0.48 eV per atom
data_CdFe2Se
_chemical_formula_sum 'Cd4 Fe8 Se4'
_symmetry_space_group_name_H-M 'I -4 2 d'
_symmetry_Int_Tables_number 122
_symmetry_space_group_name_Hall 'I -4 2bw'
_cell_length_a 7.062
_cell_length_b 7.062
_cell_length_c 5.654
_cell_angle_alpha 90.00
_cell_angle_beta 90.00
_cell_angle_gamma 90.00
loop_
_atom_site_label
_atom_site_type_symbol
_atom_site_fract_x
_atom_site_fract_y
_atom_site_fract_z
Cd1 Cd 0.000 0.000 0.000
Fe1 Fe 0.209 0.250 0.625
Se1 Se 0.000 0.000 0.500



# AcLaAg PBE optimized geometry
# - Formation energy from the elements: -8.05 kJ per mole of atoms
data_AcLaAg
_chemical_formula_sum 'Ac4 La4 Ag4'
_symmetry_space_group_name_H-M 'C m c m'
_symmetry_Int_Tables_number 63
_symmetry_space_group_name_Hall '-C 2c 2'
_cell_length_a 4.292
_cell_length_b 12.875
_cell_length_c 7.639
_cell_angle_alpha 90.00
_cell_angle_beta 90.00
_cell_angle_gamma 90.00
loop_
_atom_site_label
_atom_site_type_symbol
_atom_site_fract_x
_atom_site_fract_y
_atom_site_fract_z
Ac1 Ac 0.000 0.000 0.000
La1 La 0.000 0.294 0.250
Ag1 Ag 0.000 0.383 0.750



# Si2NiP PBE optimized geometry
# - Formation energy (no corrections): 0.30 eV per atom
data_Si2NiP
_chemical_formula_sum 'Si4 Ni2 P2'
_symmetry_space_group_name_H-M 'I -4 m 2'
_symmetry_Int_Tables_number 119
_symmetry_space_group_name_Hall 'I -4 -2'
_cell_length_a 3.897
_cell_length_b 3.897
_cell_length_c 6.905
_cell_angle_alpha 90.00
_cell_angle_beta 90.00
_cell_angle_gamma 90.00
loop_
_atom_site_label
_atom_site_type_symbol
_atom_site_fract_x
_atom_site_fract_y
_atom_site_fract_z
Si1 Si 0.000 0.000 0.000
Si2 Si 0.000 0.500 0.250
Ni1 Ni 0.000 0.500 0.750
P1 P 0.000 0.000 0.500



no.,total DFT energy (no corrections) (eV per atom)
1,-3.4099
2,-5.4177
3,-3.9268
4,-4.8481
5,-4.0458
6,-5.2086